A relaxed structure of LiMnBrF2, computed with GGA+U.

Cell lengths 4.084, 4.084, 5.767 Å; angles 90.00, 90.00, 90.00 degrees
Positions (direct):
Li 0.000 0.000 0.000
Mn 0.500 0.500 0.500
Br 0.500 0.500 0.000
F 0.000 0.500 0.500
F 0.500 0.000 0.500

Total DFT energy (no corrections)   -5.0171 eV per atom
Density   3.1 Mg/m³
Density of states at the Fermi level   0.00 states/eV per cell